NaAlMo2Pt after structural relaxation. Source: Alexandria, functional PBE.

Unit cell a=4.555 b=4.555 c=4.547 alpha=90.00 beta=90.00 gamma=90.00
Element x y z (fractional)
Na 0.000 0.000 0.000
Al 0.500 0.500 0.500
Mo 0.000 0.500 0.000
Mo 0.500 0.000 0.000
Pt 0.000 0.000 0.500

## Properties
The value obtained for the volume is 18.87 A^3/atom. For the formation energy, the calculation gives 2012 meV/atom. The total moment is 2.6 μB per formula unit.